[1]
Below is Li3Zr5H12 after structural relaxation, with properties calculated at the PBE level.

The space-group type is Ia-3d (230). The volume comes out at 851.73 Å³/cell.

a b c (Å): 10.3429 10.3429 10.3429
angles (deg): 109.47 109.47 109.47
With the nearest neighbours (Å) after each atom.
Fractional positions:
H (0.1561, 0.0359, 0.7049)  1 Li 1.83, 2 Zr 1.95-2.01
H (0.7049, 0.1691, 0.0489)  1 Li 1.83, 2 Zr 1.95-2.01
Li (0.3750, 0.6250, 0.2500)  4 H 1.83
Zr (0.7500, 0.6250, 0.3750)  4 H 1.95
H (0.6561, 0.2049, 0.5359)  1 Li 1.83, 2 Zr 1.95-2.01
H (0.5359, 0.7049, 0.6561)  1 Li 1.83, 2 Zr 1.95-2.01
Zr (0.5000, 0.5000, 0.0000)  6 H 2.01
Li (0.2500, 0.1250, 0.3750)  4 H 1.83
Zr (0.8750, 0.2500, 0.6250)  4 H 1.95
H (0.2049, 0.5489, 0.6691)  1 Li 1.83, 2 Zr 1.95-2.01
Li (0.1250, 0.8750, 0.7500)  4 H 1.83
H (0.3439, 0.5489, 0.3798)  1 Li 1.83, 2 Zr 1.95-2.01
Zr (0.6250, 0.8750, 0.2500)  4 H 1.95
H (0.9511, 0.3309, 0.2951)  1 Li 1.83, 2 Zr 1.95-2.01
Zr (0.1250, 0.7500, 0.3750)  4 H 1.95
Li (0.7500, 0.8750, 0.6250)  4 H 1.83
Zr (0.7500, 0.1250, 0.8750)  4 H 1.95
H (0.6202, 0.9511, 0.6561)  1 Li 1.83, 2 Zr 1.95-2.01
H (0.8439, 0.9641, 0.2951)  1 Li 1.83, 2 Zr 1.95-2.01
Li (0.3750, 0.7500, 0.6250)  4 H 1.83
H (0.8798, 0.0359, 0.8309)  1 Li 1.83, 2 Zr 1.95-2.01
Zr (0.6250, 0.7500, 0.8750)  4 H 1.95
H (0.6691, 0.0489, 0.2049)  1 Li 1.83, 2 Zr 1.95-2.01
Li (0.1250, 0.2500, 0.8750)  4 H 1.83
H (0.4641, 0.2951, 0.3439)  1 Li 1.83, 2 Zr 1.95-2.01
H (0.9511, 0.6202, 0.1561)  1 Li 1.83, 2 Zr 1.95-2.01
H (0.1561, 0.1202, 0.9511)  1 Li 1.83, 2 Zr 1.95-2.01
H (0.9641, 0.1202, 0.6691)  1 Li 1.83, 2 Zr 1.95-2.01
H (0.7951, 0.3439, 0.9641)  1 Li 1.83, 2 Zr 1.95-2.01
H (0.1202, 0.9641, 0.1691)  1 Li 1.83, 2 Zr 1.95-2.01
H (0.1691, 0.4641, 0.1202)  1 Li 1.83, 2 Zr 1.95-2.01
Zr (0.2500, 0.8750, 0.1250)  4 H 1.95
H (0.8798, 0.8439, 0.5489)  1 Li 1.83, 2 Zr 1.95-2.01
H (0.7951, 0.4511, 0.3309)  1 Li 1.83, 2 Zr 1.95-2.01
H (0.3798, 0.0489, 0.3439)  1 Li 1.83, 2 Zr 1.95-2.01
Zr (0.5000, 0.0000, 0.0000)  6 H 2.01
Li (0.2500, 0.6250, 0.8750)  4 H 1.83
Li (0.6250, 0.3750, 0.7500)  4 H 1.83
H (0.1691, 0.7049, 0.5489)  1 Li 1.83, 2 Zr 1.95-2.01
H (0.0489, 0.3798, 0.8439)  1 Li 1.83, 2 Zr 1.95-2.01
H (0.9641, 0.8439, 0.7951)  1 Li 1.83, 2 Zr 1.95-2.01
Li (0.6250, 0.2500, 0.3750)  4 H 1.83
H (0.3309, 0.9511, 0.7951)  1 Li 1.83, 2 Zr 1.95-2.01
H (0.2951, 0.4641, 0.8439)  1 Li 1.83, 2 Zr 1.95-2.01
H (0.4511, 0.7951, 0.8309)  1 Li 1.83, 2 Zr 1.95-2.01
H (0.7049, 0.5359, 0.1561)  1 Li 1.83, 2 Zr 1.95-2.01
H (0.4511, 0.6561, 0.1202)  1 Li 1.83, 2 Zr 1.95-2.01
Zr (0.0000, 0.0000, 0.5000)  6 H 2.01
Zr (0.0000, 0.5000, 0.5000)  6 H 2.01
Zr (0.5000, 0.0000, 0.5000)  6 H 2.01
Zr (0.1250, 0.3750, 0.2500)  4 H 1.95
Zr (0.0000, 0.0000, 0.0000)  6 H 2.01
H (0.6202, 0.6691, 0.4641)  1 Li 1.83, 2 Zr 1.95-2.01
Zr (0.5000, 0.5000, 0.5000)  6 H 2.01
Zr (0.8750, 0.6250, 0.7500)  4 H 1.95
H (0.3798, 0.3309, 0.5359)  1 Li 1.83, 2 Zr 1.95-2.01
H (0.6691, 0.6202, 0.9641)  1 Li 1.83, 2 Zr 1.95-2.01
H (0.1202, 0.1561, 0.4511)  1 Li 1.83, 2 Zr 1.95-2.01
Zr (0.3750, 0.1250, 0.7500)  4 H 1.95
H (0.2049, 0.6561, 0.0359)  1 Li 1.83, 2 Zr 1.95-2.01
H (0.0359, 0.1561, 0.2049)  1 Li 1.83, 2 Zr 1.95-2.01
H (0.0359, 0.8798, 0.3309)  1 Li 1.83, 2 Zr 1.95-2.01
H (0.5359, 0.8309, 0.3798)  1 Li 1.83, 2 Zr 1.95-2.01
H (0.2951, 0.8309, 0.9511)  1 Li 1.83, 2 Zr 1.95-2.01
Li (0.7500, 0.3750, 0.1250)  4 H 1.83
Li (0.8750, 0.1250, 0.2500)  4 H 1.83
Zr (0.3750, 0.2500, 0.1250)  4 H 1.95
H (0.8439, 0.8798, 0.0489)  1 Li 1.83, 2 Zr 1.95-2.01
H (0.8309, 0.5359, 0.8798)  1 Li 1.83, 2 Zr 1.95-2.01
H (0.6561, 0.4511, 0.6202)  1 Li 1.83, 2 Zr 1.95-2.01
H (0.4641, 0.1691, 0.6202)  1 Li 1.83, 2 Zr 1.95-2.01
H (0.8309, 0.2951, 0.4511)  1 Li 1.83, 2 Zr 1.95-2.01
Li (0.8750, 0.7500, 0.1250)  4 H 1.83
Zr (0.2500, 0.3750, 0.6250)  4 H 1.95
Zr (0.0000, 0.5000, 0.0000)  6 H 2.01
H (0.5489, 0.3439, 0.8798)  1 Li 1.83, 2 Zr 1.95-2.01
H (0.5489, 0.2049, 0.1691)  1 Li 1.83, 2 Zr 1.95-2.01
H (0.3439, 0.7951, 0.4641)  1 Li 1.83, 2 Zr 1.95-2.01
H (0.3309, 0.3798, 0.0359)  1 Li 1.83, 2 Zr 1.95-2.01
H (0.0489, 0.6691, 0.7049)  1 Li 1.83, 2 Zr 1.95-2.01

[2]
Below is In4Ag5 after structural relaxation, with properties calculated at the PBE level.

The space-group type is P6_3/mcm (193). The volume comes out at 379.50 Å³/cell.

a b c (Å): 8.5236 8.5236 6.0316
angles (deg): 90.00 90.00 120.00
With the nearest neighbours (Å) after each atom.
Fractional positions:
In (0.0000, 0.6470, 0.2500)  5 Ag 2.79-3.03
In (0.6470, 0.6470, 0.7500)  5 Ag 2.79-3.03
Ag (0.3203, 0.0000, 0.2500)  7 In 2.79-3.12
In (0.0000, 0.0000, 0.0000)  8 In 3.02-3.37, 6 Ag 3.12
In (0.3530, 0.0000, 0.7500)  5 Ag 2.79-3.03
Ag (0.3333, 0.6667, 0.0000)  8 Ag 3.02-3.27, 6 In 3.15
Ag (0.6797, 0.0000, 0.7500)  7 In 2.79-3.12
In (0.0000, 0.3530, 0.7500)  5 Ag 2.79-3.03
Ag (0.0000, 0.6797, 0.7500)  7 In 2.79-3.12
Ag (0.6797, 0.6797, 0.2500)  7 In 2.79-3.12
Ag (0.6667, 0.3333, 0.0000)  8 Ag 3.02-3.27, 6 In 3.15
Ag (0.6667, 0.3333, 0.5000)  8 Ag 3.02-3.27, 6 In 3.15
In (0.3530, 0.3530, 0.2500)  5 Ag 2.79-3.03
Ag (0.3203, 0.3203, 0.7500)  7 In 2.79-3.12
Ag (0.3333, 0.6667, 0.5000)  8 Ag 3.02-3.27, 6 In 3.15
In (0.0000, 0.0000, 0.5000)  8 In 3.02-3.37, 6 Ag 3.12
Ag (0.0000, 0.3203, 0.2500)  7 In 2.79-3.12
In (0.6470, 0.0000, 0.2500)  5 Ag 2.79-3.03

[3]
Below is PmScTiN3 after structural relaxation, with properties calculated at the PBE level.

The space-group type is P2_1/m (11). The volume comes out at 179.41 Å³/cell. For the uncorrected formation energy, the calculation gives -1380 meV/atom.

a b c (Å): 3.3077 6.8755 7.9418
angles (deg): 96.63 90.00 90.00
With the nearest neighbours (Å) after each atom.
Fractional positions:
Pm (0.2500, 0.1677, 0.1922)  6 N 2.46-2.72
Sc (0.7500, 0.3645, 0.8768)  5 N 2.05-2.28
Sc (0.2500, 0.6355, 0.1232)  5 N 2.05-2.28
Ti (0.7500, 0.8716, 0.4094)  4 N 1.98-2.08
N (0.2500, 0.1342, 0.8402)  1 Ti 1.98
N (0.7500, 0.8658, 0.1598)  1 Ti 1.98
N (0.7500, 0.1748, 0.4649)  3 Ti 1.98-2.08
N (0.7500, 0.4163, 0.1358)  3 Sc 2.05-2.25
N (0.2500, 0.5837, 0.8642)  3 Sc 2.05-2.25
Pm (0.7500, 0.8323, 0.8078)  6 N 2.46-2.72
N (0.2500, 0.8252, 0.5351)  3 Ti 1.98-2.08
Ti (0.2500, 0.1284, 0.5906)  4 N 1.98-2.08

| no. | final energy (eV for the cell shown) |
| --- | --- |
| 1 | -376.66 |
| 2 | -49.40 |
| 3 | -104.46 |